Record 1
This record from Alexandria describes PmZn3Ag9 after structural relaxation. The functional is GGA-PBE.

a = 7.2088 Å, b = 7.2088 Å, c = 7.1035 Å
α = 96.91°, β = 96.91°, γ = 136.68°
Fractional coordinates of all 13 atoms:
Pm1 0.0000 0.0000 0.0000
Zn1 0.0000 0.5000 0.0000
Zn2 0.5000 0.0000 0.0000
Zn3 0.5000 0.5000 0.5000
Ag1 0.0000 0.0000 0.5000
Ag2 0.0245 0.6678 0.6569
Ag3 0.3000 0.5177 0.7866
Ag4 0.3322 0.9755 0.3431
Ag5 0.4823 0.7000 0.2134
Ag6 0.5177 0.3000 0.7866
Ag7 0.6678 0.0245 0.6569
Ag8 0.7000 0.4823 0.2134
Ag9 0.9755 0.3322 0.3431

## Properties
Raw total energy: -2.750 eV per atom
D(E_F): 0.39 states/eV per atom
Space-group type: C2/m (12)
Total magnetic moment: 0.00 μB per atom

Record 2
This record from Alexandria describes Nd3Ho2TmAs6 after structural relaxation. The functional is GGA-PBE.

a = 7.2442 Å, b = 7.2442 Å, c = 7.2370 Å
α = 99.59°, β = 99.59°, γ = 119.99°
Fractional coordinates of all 12 atoms:
Nd1 0.0000 0.0000 0.0000
Nd2 0.3330 0.6670 0.0000
Nd3 0.6670 0.3330 0.0000
Ho1 0.1665 0.8335 0.5000
Ho2 0.8335 0.1665 0.5000
Tm1 0.5000 0.5000 0.5000
As1 0.0884 0.4205 0.2615
As2 0.2475 0.2475 0.7389
As3 0.4205 0.0884 0.2615
As4 0.5795 0.9116 0.7385
As5 0.7525 0.7525 0.2611
As6 0.9116 0.5795 0.7385

## Properties
Raw total energy: -6.160 eV per atom
D(E_F): 0.15 states/eV per atom
Space-group type: C2/m (12)
Total magnetic moment: 0.00 μB per atom

Record 3
This record from Alexandria describes TmPuOsAu after structural relaxation. The functional is GGA-PBE.

a = 4.9187 Å, b = 4.9187 Å, c = 4.9187 Å
α = 60.00°, β = 60.00°, γ = 60.00°
Fractional coordinates of all 4 atoms:
Tm1 0.0000 0.0000 0.0000
Pu1 0.5000 0.5000 0.5000
Os1 0.2500 0.2500 0.2500
Au1 0.7500 0.7500 0.7500

## Properties
Raw total energy: -8.607 eV per atom
D(E_F): 2.50 states/eV per atom
Space-group type: F-43m (216)
Total magnetic moment: 1.31 μB per atom

Record 4
This record from Alexandria describes NaSr2Li2In5 after structural relaxation. The functional is GGA-PBE.

a = 11.0357 Å, b = 11.0357 Å, c = 4.3562 Å
α = 90.00°, β = 90.00°, γ = 90.00°
Fractional coordinates of all 20 atoms:
Na1 0.0000 0.0000 0.0000
Na2 0.5000 0.5000 0.0000
Sr1 0.1822 0.3178 0.0000
Sr2 0.3178 0.8178 0.0000
Sr3 0.6822 0.1822 0.0000
Sr4 0.8178 0.6822 0.0000
Li1 0.1127 0.6127 0.0000
Li2 0.3873 0.1127 0.0000
Li3 0.6127 0.8873 0.0000
Li4 0.8873 0.3873 0.0000
In1 0.0000 0.5000 0.5000
In2 0.0589 0.7896 0.5000
In3 0.2104 0.0589 0.5000
In4 0.2896 0.5589 0.5000
In5 0.4411 0.2896 0.5000
In6 0.5000 0.0000 0.5000
In7 0.5589 0.7104 0.5000
In8 0.7104 0.4411 0.5000
In9 0.7896 0.9411 0.5000
In10 0.9411 0.2104 0.5000

## Properties
Raw total energy: -2.515 eV per atom
D(E_F): 0.53 states/eV per atom
Space-group type: P4/mbm (127)
Total magnetic moment: 0.00 μB per atom

| no. | calculated formation energy (eV/atom) |
| --- | --- |
| 1 | -0.12 |
| 2 | -1.51 |
| 3 | -0.28 |
| 4 | -0.29 |